Record 1
# PBE Ti2Sn2Pd3, optimized geometry
data_Ti2Sn2Pd3
_cell_length_a 9.401
_cell_length_b 3.988
_cell_length_c 6.564
_cell_angle_alpha 90.00
_cell_angle_beta 96.68
_cell_angle_gamma 90.00
_space_group_name_H-M_alt 'C 1 2/m 1'
_space_group_IT_number 12
loop_
_space_group_symop_operation_xyz
'x,y,z'
'-x,-y,-z'
'-x,y,-z'
'x,-y,z'
'x+1/2,y+1/2,z'
'-x+1/2,-y+1/2,-z'
'-x+1/2,y+1/2,-z'
'x+1/2,-y+1/2,z'
loop_
_atom_site_label
_atom_site_fract_x
_atom_site_fract_y
_atom_site_fract_z
Ti1 0.135 0.000 0.425
Sn1 0.087 0.500 0.747
Pd1 0.000 0.000 0.000
Pd2 0.205 0.500 0.168
# DOS at the Fermi energy, states/eV/atom: 0.843
# Total magnetic moment, Bohr magnetons per cell: 2.76
# Energy relative to the elements, eV/atom: -0.45

Record 2
# PBE Ho2TmAlAu4, optimized geometry
data_Ho2TmAlAu4
_cell_length_a 4.9219
_cell_length_b 4.9219
_cell_length_c 24.4852
_cell_angle_alpha 90.00
_cell_angle_beta 90.00
_cell_angle_gamma 120.00
_space_group_name_H-M_alt 'R -3 m'
_space_group_IT_number 166
_space_group_name_Hall '-R 3 2"'
loop_
_atom_site_label
_atom_site_fract_x
_atom_site_fract_y
_atom_site_fract_z
Ho1 0.0000 0.0000 0.2434
Tm1 0.0000 0.0000 0.0000
Al1 0.0000 0.0000 0.5000
Au1 0.0000 0.0000 0.1216
Au2 0.0000 0.0000 0.3712
# DOS at the Fermi energy, states/eV/atom: 0.514
# Total magnetic moment, Bohr magnetons per cell: 0.00
# Energy relative to the elements, eV/atom: -0.78

Record 3
# PBE Na2Tl8Zn, optimized geometry
data_Na2Tl8Zn
_cell_length_a 5.013
_cell_length_b 5.013
_cell_length_c 12.624
_cell_angle_alpha 90.00
_cell_angle_beta 90.00
_cell_angle_gamma 90.00
_space_group_name_H-M_alt 'P 4/m m m'
_space_group_IT_number 123
_space_group_name_Hall '-P 4 2'
loop_
_atom_site_label
_atom_site_fract_x
_atom_site_fract_y
_atom_site_fract_z
Na1 0.000 0.000 0.185
Tl1 0.000 0.500 0.000
Tl2 0.000 0.500 0.369
Tl3 0.500 0.500 0.184
Zn1 0.000 0.000 0.500
# ΔE to the lowest computed polymorph, eV per atom: 0.000
# DOS at the Fermi energy, states/eV/atom: 0.307
# Total magnetic moment, Bohr magnetons per cell: 0.00
# Energy relative to the elements, eV/atom: -0.03

no.,calculated volume (Å³/atom)
1,17.5
2,21.4
3,28.8